The following is a DFT calculation (GGA-PBE) of an optimized crystal structure of Ac3TlIrPt.

```
Ac3TlIrPt
1.0
8.909 0.000 0.000
0.000 4.410 0.000
-4.069 0.000 10.445
Ac Tl Ir Pt
6 2 2 2
Direct
0.088 0.250 0.391
0.190 0.250 0.945
0.409 0.750 0.734
0.591 0.250 0.266
0.810 0.750 0.055
0.912 0.750 0.609
0.252 0.750 0.220
0.748 0.250 0.780
0.162 0.250 0.672
0.838 0.750 0.328
0.440 0.750 0.052
0.560 0.250 0.948
```

**Energy of formation**: -66.40 kJ per mole of atoms
**D(E_F)**: 7.0 states/eV/cell
**Density**: 10.30 g cm⁻³

The following is a DFT calculation (GGA-PBE) of an optimized crystal structure of Ca2Pb2Se.

```
Ca2Pb2Se
1.0
7.752 0.000 0.000
0.000 7.752 0.000
0.000 0.000 5.186
Ca Pb Se
4 4 2
Direct
0.172 0.328 0.000
0.328 0.828 0.000
0.672 0.172 0.000
0.828 0.672 0.000
0.139 0.639 0.500
0.361 0.139 0.500
0.639 0.861 0.500
0.861 0.361 0.500
0.000 0.000 0.000
0.500 0.500 0.000
```

**E**: -3.655 eV per atom
**D(E_F)**: 6.9 states/eV/cell
**Density**: 6.11 g cm⁻³

The following is a DFT calculation (GGA-PBE) of an optimized crystal structure of CaLa2Rh.

```
CaLa2Rh
1.0
4.150 0.000 0.000
-2.075 3.594 0.000
0.000 0.000 29.127
Ca La Rh
3 6 3
Direct
0.000 0.000 0.000
0.333 0.667 0.667
0.667 0.333 0.333
0.000 0.000 0.552
0.000 0.000 0.778
0.333 0.667 0.219
0.333 0.667 0.445
0.667 0.333 0.111
0.667 0.333 0.886
0.000 0.000 0.165
0.333 0.667 0.832
0.667 0.333 0.498
```

**Energy of formation**: -38.99 kJ per mole of atoms
**Polymorph energy (0 for the lowest one)**: 0.0 meV/atom
**D(E_F)**: 13.9 states/eV/cell
**Density**: 4.83 g cm⁻³

The following is a DFT calculation (GGA-PBE) of an optimized crystal structure of CrCdIr2.

```
CrCdIr2
1.0
2.927 0.000 0.000
0.000 4.578 0.000
0.000 0.000 4.742
Cr Cd Ir
1 1 2
Direct
0.000 0.000 0.000
0.500 0.000 0.500
0.000 0.500 0.500
0.500 0.500 0.000
```

**Energy of formation**: 34.71 kJ per mole of atoms
**D(E_F)**: 5.3 states/eV/cell
**Density**: 14.34 g cm⁻³

The following is a DFT calculation (GGA-PBE) of an optimized crystal structure of Ce2ErAg2Pb2.

```
Ce2ErAg2Pb2
1.0
2.415 1.394 8.909
-2.415 1.394 8.909
0.000 -2.788 8.909
Ce Er Ag Pb
2 1 2 2
Direct
0.144 0.144 0.144
0.856 0.856 0.856
0.000 0.000 0.000
0.430 0.430 0.430
0.570 0.570 0.570
0.272 0.272 0.272
0.728 0.728 0.728
```

**Energy of formation**: -18.08 kJ per mole of atoms
**D(E_F)**: 13.0 states/eV/cell
**Density**: 9.94 g cm⁻³

The following is a DFT calculation (GGA-PBE) of an optimized crystal structure of AgCO3.

```
AgCO3
1.0
3.933 0.000 0.000
0.000 3.933 0.000
0.000 0.000 3.933
Ag C O
1 1 3
Direct
0.000 0.000 0.000
0.500 0.500 0.500
0.000 0.000 0.500
0.000 0.500 0.000
0.500 0.000 0.000
```

**E**: -3.362 eV per atom
**D(E_F)**: 3.3 states/eV/cell
**Density**: 4.58 g cm⁻³

The following is a DFT calculation (GGA-PBE) of an optimized crystal structure of AlCdB2O6.

```
AlCdB2O6
1.0
2.374 1.371 5.134
-2.374 1.371 5.134
0.000 -2.741 5.134
Al Cd B O
1 1 2 6
Direct
0.000 0.000 0.000
0.500 0.500 0.500
0.261 0.261 0.261
0.739 0.739 0.739
0.005 0.786 0.430
0.214 0.570 0.995
0.430 0.005 0.786
0.570 0.995 0.214
0.786 0.430 0.005
0.995 0.214 0.570
```

**E**: -6.887 eV per atom
**D(E_F)**: 4.5 states/eV/cell
**Density**: 4.26 g cm⁻³

The following is a DFT calculation (GGA-PBE) of an optimized crystal structure of Tm5HPb2.

```
Tm5HPb2
1.0
1.729 -7.965 0.000
1.729 7.965 0.000
0.000 0.000 16.094
Tm H Pb
10 2 4
Direct
0.139 0.861 0.750
0.196 0.804 0.155
0.196 0.804 0.345
0.348 0.652 0.025
0.348 0.652 0.475
0.652 0.348 0.525
0.652 0.348 0.975
0.804 0.196 0.655
0.804 0.196 0.845
0.861 0.139 0.250
0.287 0.713 0.250
0.713 0.287 0.750
0.010 0.990 0.102
0.010 0.990 0.398
0.990 0.010 0.602
0.990 0.010 0.898
```

**E**: -4.254 eV per atom
**D(E_F)**: 13.2 states/eV/cell
**Density**: 9.44 g cm⁻³